Entry from Alexandria via LeMat-Bulk: a crystal of LaMoI4O15 relaxed with PBEsol (SCAN).

Geometry as POSCAR:
```
LaMoI4O15
1.0
-5.711 -2.496 2.397
2.974 -3.716 -5.347
7.399 -7.781 9.523
Mo O I La
2 30 8 2
direct
0.386 0.703 0.951 Mo
0.614 0.297 0.451 Mo
0.455 0.498 0.481 O
0.572 0.873 0.028 O
0.545 0.502 0.981 O
0.406 0.216 0.341 O
0.003 0.383 0.229 O
0.153 0.530 0.031 O
0.035 0.095 0.968 O
0.284 0.170 0.153 O
0.722 0.287 0.068 O
0.762 0.327 0.870 O
0.428 0.127 0.528 O
0.997 0.617 0.729 O
0.768 0.172 0.408 O
0.534 0.393 0.724 O
0.232 0.828 0.908 O
0.577 0.036 0.220 O
0.594 0.784 0.841 O
0.278 0.713 0.568 O
0.716 0.830 0.653 O
0.898 0.714 0.100 O
0.055 0.080 0.775 O
0.228 0.446 0.858 O
0.423 0.964 0.720 O
0.847 0.470 0.531 O
0.102 0.286 0.600 O
0.466 0.607 0.224 O
0.945 0.920 0.275 O
0.772 0.554 0.358 O
0.238 0.673 0.370 O
0.965 0.905 0.468 O
0.764 0.810 0.375 I
0.165 0.470 0.504 I
0.783 0.355 0.741 I
0.217 0.645 0.241 I
0.236 0.190 0.875 I
0.835 0.530 0.004 I
0.534 0.274 0.221 I
0.466 0.726 0.721 I
0.094 0.935 0.626 La
0.906 0.065 0.126 La
```

Values from the calculation:
Formation energy (no corrections) ... -1089 meV/atom

=====

Entry from Alexandria via LeMat-Bulk: a crystal of Y5Au relaxed with PBEsol (SCAN).

Geometry as POSCAR:
```
Y5Au
1.0
-1.520 -2.614 2.039
4.847 -1.812 1.292
0.898 6.407 5.621
Y Au
5 1
direct
0.110 0.500 0.221 Y
0.458 0.500 0.916 Y
0.781 0.500 0.563 Y
0.340 0.000 0.679 Y
0.649 0.000 0.297 Y
0.995 0.000 0.990 Au
```

Values from the calculation:
ΔH_f (0 K) ... -0.22 eV/atom
E above lowest polymorph ... 125 meV/atom